[1]
A plane-wave DFT calculation with PBE-GGA was carried out for an optimized crystal structure of La2TbDyHo2. Values from VASP.

```
&SYSTEM
  ibrav = 0, nat = 12, ntyp = 4
/
ATOMIC_SPECIES
La 138.91 La.upf
Ho 164.93 Ho.upf
Dy 162.50 Dy.upf
Tb 158.93 Tb.upf
ATOMIC_POSITIONS angstrom
La 0.000 5.369 8.149
La 2.851 0.055 0.006
La 2.851 3.596 9.877
La 0.000 1.828 1.734
Ho 0.000 5.366 1.649
Ho 2.851 1.824 3.313
Ho 2.851 5.366 6.570
Ho 0.000 1.825 8.234
Dy 2.851 1.822 6.527
Dy 2.851 5.363 3.357
Tb 0.000 3.594 4.944
Tb 0.000 0.053 4.939
CELL_PARAMETERS angstrom
5.701 0.000 0.000
0.000 7.083 0.000
0.000 0.000 9.883
```

The value obtained for the raw total energy is -4.6370 eV/atom. The calculation puts the formation energy at 70 meV/atom. The total magnetization is 0.000 μB/f.u. The density of states at the Fermi level is 19.523 states/eV/cell.

---

[2]
A plane-wave DFT calculation with PBE-GGA was carried out for an optimized crystal structure of LaTb2Dy5Ho. Values from VASP.

```
&SYSTEM
  ibrav = 0, nat = 18, ntyp = 4
/
ATOMIC_SPECIES
Dy 162.50 Dy.upf
Ho 164.93 Ho.upf
Tb 158.93 Tb.upf
La 138.91 La.upf
ATOMIC_POSITIONS angstrom
Dy 0.000 0.000 0.000
Dy 7.088 2.628 1.964
Dy 1.831 6.291 1.964
Dy -2.628 1.831 5.483
Dy 2.629 -1.831 5.483
Dy 4.460 4.460 0.000
Dy -1.831 -2.628 5.483
Dy 2.628 1.831 1.964
Dy 6.291 7.088 1.964
Dy 1.831 2.629 5.483
Ho 4.460 0.000 3.723
Ho 0.000 4.460 3.723
Tb 1.012 3.448 0.000
Tb 7.908 5.472 0.000
Tb 5.472 1.012 0.000
Tb 3.448 7.908 0.000
La 4.460 4.460 3.723
La 0.000 0.000 3.723
CELL_PARAMETERS angstrom
8.920 0.000 0.000
0.000 8.920 0.000
-4.460 -4.460 7.447
```

The value obtained for the raw total energy is -4.3591 eV/atom. The calculation puts the formation energy at 283 meV/atom. The total magnetization is 0.000 μB/f.u. The density of states at the Fermi level is 22.948 states/eV/cell.